MoSO2F | PBE+U | relaxed

Results
Total energy = -5.209 eV per atom
Calculated volume = 66.3 Å³ per cell

Cell: 3.9194 3.9194 4.3176 Å, 90.00 90.00 90.00°
Site moments in Bohr magnetons follow the coordinates.
Element x y z (fractional)
Mo  0.0000  0.0000  0.0000  0.01
S  0.5000  0.5000  0.5000  1.26
O  0.0000  0.5000  0.0000  0.11
O  0.5000  0.0000  0.0000  0.11
F  0.0000  0.0000  0.5000  0.07